# 1
A plane-wave DFT calculation with PBEsol was carried out for a relaxed structure of LaAl3W.

Lattice parameters (Å, degrees): 4.8516 4.8516 4.8516 90.00 90.00 90.00
With the nearest neighbours (Å) after each atom.
Space group Pm-3m (No. 221)
Symmetry-distinct sites (fractional):
La: 0.0000 0.0000 0.0000 [1 per cell]  12 Al 3.43
Al: 0.0000 0.5000 0.5000 [3 per cell]  2 W 2.43
W: 0.5000 0.5000 0.5000 [1 per cell]  6 Al 2.43

For the total magnetization, the calculation gives 0.0000 μB/atom. The total energy comes out at -6.2481 eV per atom. Its energy of formation is 0.87 kcal/mol of atoms.


# 2
A plane-wave DFT calculation with PBEsol was carried out for a relaxed structure of GaSb2TeAs.

Lattice parameters (Å, degrees): 5.3656 5.3656 5.3345 90.00 90.00 90.00
With the nearest neighbours (Å) after each atom.
Space group P4/mmm (No. 123)
Symmetry-distinct sites (fractional):
Ga: 0.0000 0.0000 0.0000 [1 per cell]  8 Sb 3.78, 4 Te 3.79
Sb: 0.0000 0.5000 0.5000 [2 per cell]  2 As 2.68
Te: 0.5000 0.5000 0.0000 [1 per cell]  2 As 2.67
As: 0.5000 0.5000 0.5000 [1 per cell]  2 Te 2.67, 4 Sb 2.68

For the total magnetization, the calculation gives 0.0002 μB/atom. The formation energy (no corrections) is 0.5930 eV/atom. The total energy comes out at -3.6244 eV per atom.


# 3
A plane-wave DFT calculation with PBEsol was carried out for a relaxed structure of HfZr2TaP.

Lattice parameters (Å, degrees): 5.0167 5.0167 4.6490 90.00 90.00 90.00
With the nearest neighbours (Å) after each atom.
Space group P4/mmm (No. 123)
Symmetry-distinct sites (fractional):
Hf: 0.0000 0.0000 0.0000 [1 per cell]  2 P 2.32, 4 Zr 2.51
Zr: 0.0000 0.5000 0.0000 [2 per cell]  2 Hf 2.51
Ta: 0.5000 0.5000 0.5000 [1 per cell]  8 Zr 3.42, 4 P 3.55
P: 0.0000 0.0000 0.5000 [1 per cell]  2 Hf 2.32

For the total magnetization, the calculation gives 0.0003 μB/atom. The total energy comes out at -8.1093 eV per atom. Its energy of formation is 29.88 kcal/mol of atoms.


# 4
A plane-wave DFT calculation with PBEsol was carried out for a relaxed structure of FeRhW2.

Lattice parameters (Å, degrees): 2.7122 2.7122 7.4161 90.00 90.00 90.00
With the nearest neighbours (Å) after each atom.
Space group P4/mmm (No. 123)
Symmetry-distinct sites (fractional):
Fe: 0.0000 0.0000 0.0000 [1 per cell]  8 W 2.59, 4 Fe 2.71
Rh: 0.0000 0.0000 0.5000 [1 per cell]  4 Rh 2.71, 8 W 2.75
W: 0.5000 0.5000 0.2342 [2 per cell]  4 Fe 2.59, 4 W 2.71, 4 Rh 2.75

For the total magnetization, the calculation gives 0.0002 μB/atom. For the energy above the most stable polymorph in this dataset, the calculation gives 0 meV/atom. The total energy comes out at -11.2163 eV per atom. Its energy of formation is -0.85 kcal/mol of atoms.


# 5
A plane-wave DFT calculation with PBEsol was carried out for a relaxed structure of Mn2CoHg.

Lattice parameters (Å, degrees): 3.7013 3.8986 7.7266 90.00 90.00 90.00
With the nearest neighbours (Å) after each atom.
Space group Imm2 (No. 44)
Symmetry-distinct sites (fractional):
Mn: 0.0000 0.0000 0.0000 [2 per cell]  4 Co 2.69, 4 Mn 2.70-2.72, 4 Hg 2.71
Mn: 0.0000 0.5000 0.2458 [2 per cell]  4 Co 2.60-2.82, 4 Hg 2.69, 4 Mn 2.70-2.72
Co: 0.0000 0.0000 0.5088 [2 per cell]  8 Mn 2.60-2.82, 4 Hg 2.69-2.73
Hg: 0.0000 0.5000 0.7555 [2 per cell]  8 Mn 2.69-2.71, 4 Co 2.69-2.73

For the total magnetization, the calculation gives 2.0151 μB/atom. The total energy comes out at -6.5423 eV per atom. Its energy of formation is 9.55 kcal/mol of atoms.


# 6
A plane-wave DFT calculation with PBEsol was carried out for a relaxed structure of Sr2CaMg.

Lattice parameters (Å, degrees): 4.1226 4.1226 9.6721 90.00 90.00 90.00
With the nearest neighbours (Å) after each atom.
Space group P4mm (No. 99)
Symmetry-distinct sites (fractional):
Sr: 0.0000 0.0000 0.0000 [1 per cell]  4 Mg 3.60, 1 Ca 3.85
Sr: 0.5000 0.5000 0.3185 [1 per cell]  4 Ca 4.00, 8 Sr 4.12-4.24, 1 Mg 4.48
Ca: 0.0000 0.0000 0.6022 [1 per cell]  4 Mg 3.39
Mg: 0.5000 0.5000 0.7816 [1 per cell]  4 Ca 3.39, 4 Sr 3.60

For the total magnetization, the calculation gives 0.0000 μB/atom. The total energy comes out at -1.9047 eV per atom. Its energy of formation is -0.51 kcal/mol of atoms.


# 7
A plane-wave DFT calculation with PBEsol was carried out for a relaxed structure of LiCuF4.

Lattice parameters (Å, degrees): 4.5957 5.5589 9.7322 90.00 90.00 90.00
With the nearest neighbours (Å) after each atom.
Space group Pbcn (No. 60)
Symmetry-distinct sites (fractional):
Li: 0.0000 0.0000 0.0000 [4 per cell]  6 F 1.98-2.09
Cu: 0.0000 0.2974 0.2500 [4 per cell]  6 F 1.82-1.93
F: 0.1833 0.2867 0.0849 [8 per cell]  1 Cu 1.82, 1 Li 1.98
F: 0.2427 0.0414 0.3201 [8 per cell]  2 Cu 1.92-1.93, 1 Li 2.09

For the total magnetization, the calculation gives 0.0001 μB/atom. The formation energy (no corrections) is -1.9036 eV/atom. The total energy comes out at -4.2386 eV per atom.


# 8
A plane-wave DFT calculation with PBEsol was carried out for a relaxed structure of NiSbS2Cl.

Lattice parameters (Å, degrees): 4.9963 4.9963 4.9845 90.00 90.00 90.00
With the nearest neighbours (Å) after each atom.
Space group P4/mmm (No. 123)
Symmetry-distinct sites (fractional):
Ni: 0.0000 0.0000 0.0000 [1 per cell]  8 S 3.53, 4 Cl 3.53
Sb: 0.5000 0.5000 0.5000 [1 per cell]  2 Cl 2.49, 4 S 2.50
S: 0.0000 0.5000 0.5000 [2 per cell]  2 Sb 2.50
Cl: 0.5000 0.5000 0.0000 [1 per cell]  2 Sb 2.49

For the total magnetization, the calculation gives 0.2623 μB/atom. The formation energy (no corrections) is 0.7354 eV/atom. The total energy comes out at -3.5628 eV per atom.


# 9
A plane-wave DFT calculation with PBEsol was carried out for a relaxed structure of Ca3TcN.

Lattice parameters (Å, degrees): 4.7708 4.7708 4.7708 90.00 90.00 90.00
With the nearest neighbours (Å) after each atom.
Space group Pm-3m (No. 221)
Symmetry-distinct sites (fractional):
Ca: 0.0000 0.0000 0.5000 [3 per cell]  2 N 2.39
Tc: 0.5000 0.5000 0.5000 [1 per cell]  12 Ca 3.37
N: 0.0000 0.0000 0.0000 [1 per cell]  6 Ca 2.39

For the total magnetization, the calculation gives 0.4740 μB/atom. The formation energy (no corrections) is 0.1591 eV/atom. The total energy comes out at -5.0794 eV per atom.


# 10
A plane-wave DFT calculation with PBEsol was carried out for a relaxed structure of MgAs.

Lattice parameters (Å, degrees): 3.3650 3.3650 3.3650 90.00 90.00 90.00
With the nearest neighbours (Å) after each atom.
Space group Pm-3m (No. 221)
Symmetry-distinct sites (fractional):
Mg: 0.0000 0.0000 0.0000 [1 per cell]  8 As 2.91
As: 0.5000 0.5000 0.5000 [1 per cell]  8 Mg 2.91

For the total magnetization, the calculation gives 0.0001 μB/atom. For the energy above the most stable polymorph in this dataset, the calculation gives 197 meV/atom. The total energy comes out at -3.6472 eV per atom. Its energy of formation is -5.43 kcal/mol of atoms.


# 11
A plane-wave DFT calculation with PBEsol was carried out for a relaxed structure of Ru3AuBr.

Lattice parameters (Å, degrees): 4.8738 4.8738 4.8738 90.00 90.00 90.00
With the nearest neighbours (Å) after each atom.
Space group Pm-3m (No. 221)
Symmetry-distinct sites (fractional):
Ru: 0.0000 0.0000 0.5000 [3 per cell]  2 Au 2.44
Au: 0.0000 0.0000 0.0000 [1 per cell]  6 Ru 2.44
Br: 0.5000 0.5000 0.5000 [1 per cell]  12 Ru 3.45

For the total magnetization, the calculation gives 1.4718 μB/atom. The formation energy (no corrections) is 2.3279 eV/atom. The total energy comes out at -4.9344 eV per atom.


# 12
A plane-wave DFT calculation with PBEsol was carried out for a relaxed structure of K2LaP2S7.

Lattice parameters (Å, degrees): 9.0510 6.7902 20.8222 90.00 108.35 90.00
With the nearest neighbours (Å) after each atom.
Space group P2_1/c (No. 14)
Symmetry-distinct sites (fractional):
K: 0.1580 0.0442 0.3120 [4 per cell]  7 S 3.17-3.53, 1 P 3.48
K: 0.2499 0.5149 0.4897 [4 per cell]  7 S 3.20-3.57
La: 0.3413 0.0244 0.6501 [4 per cell]  8 S 2.89-3.10
P: 0.0405 0.0136 0.4555 [4 per cell]  3 S 2.01-2.03, 1 P 2.20
P: 0.4259 0.5198 0.3314 [4 per cell]  4 S 2.03-2.06
S: 0.0389 0.2315 0.6009 [4 per cell]  1 P 2.03
S: 0.0705 0.7469 0.5959 [4 per cell]  1 P 2.03
S: 0.2123 0.0145 0.7603 [4 per cell]  1 P 2.04
S: 0.2730 0.0393 0.4948 [4 per cell]  1 P 2.01
S: 0.4143 0.0775 0.2183 [4 per cell]  1 P 2.06
S: 0.4268 0.7461 0.8924 [4 per cell]  1 P 2.03
S: 0.4780 0.2211 0.8926 [4 per cell]  1 P 2.04

For the total magnetization, the calculation gives 0.0000 μB/atom. The formation energy (no corrections) is -1.0822 eV/atom. The total energy comes out at -5.2392 eV per atom.